1.
The following is a DFT calculation (PBE-GGA) of BaTe2PbN after structural relaxation.

Lattice parameters (Å, degrees): 6.035 6.035 4.660 90.00 90.00 90.00
Element x y z (fractional)
Te1 0.000 0.500 0.000
Te2 0.500 0.000 0.000
Pb1 0.000 0.000 0.000
Ba1 0.500 0.500 0.500
N1 0.000 0.000 0.500

formation energy without anion corrections = 0.06 eV per atom
symmetry = No. 123
calculated total energy = -3.989 eV per atom

=====

2.
The following is a DFT calculation (PBE-GGA) of BaPbW2N after structural relaxation.

Lattice parameters (Å, degrees): 5.117 6.264 5.117 90.00 90.00 90.00
Element x y z (fractional)
Pb1 0.000 0.500 0.000
N1 0.500 0.500 0.500
W1 0.500 0.000 0.000
W2 0.000 0.000 0.500
Ba1 0.000 0.000 0.000

formation energy without anion corrections = 4.21 eV per atom
symmetry = No. 123
calculated total energy = -3.764 eV per atom

=====

3.
The following is a DFT calculation (PBE-GGA) of Ba12Pd6N after structural relaxation.

Lattice parameters (Å, degrees): 9.232 9.232 9.232 98.94 98.94 98.94
Element x y z (fractional)
Ba1 0.411 0.823 0.577
Ba2 0.069 0.968 0.301
Ba3 0.699 0.931 0.032
Ba4 0.577 0.411 0.823
Ba5 0.423 0.589 0.177
Ba6 0.177 0.423 0.589
Ba7 0.931 0.032 0.699
Ba8 0.823 0.577 0.411
Ba9 0.968 0.301 0.069
Ba10 0.032 0.699 0.931
Ba11 0.589 0.177 0.423
Ba12 0.301 0.069 0.968
Pd1 0.701 0.868 0.375
Pd2 0.625 0.299 0.132
Pd3 0.299 0.132 0.625
Pd4 0.132 0.625 0.299
Pd5 0.868 0.375 0.701
Pd6 0.375 0.701 0.868
N1 0.000 0.000 0.000

formation energy without anion corrections = -0.39 eV per atom
symmetry = No. 148
calculated total energy = -3.680 eV per atom

=====

4.
The following is a DFT calculation (PBE-GGA) of BaPdN2 after structural relaxation.

Lattice parameters (Å, degrees): 4.475 4.475 4.475 60.00 60.00 60.00
Element x y z (fractional)
N1 0.750 0.750 0.750
N2 0.250 0.250 0.250
Ba1 0.500 0.500 0.500
Pd1 0.000 0.000 0.000

formation energy without anion corrections = 1.12 eV per atom
symmetry = No. 225
calculated total energy = -4.825 eV per atom

=====

5.
The following is a DFT calculation (PBE-GGA) of Ba6Pd3N after structural relaxation.

Lattice parameters (Å, degrees): 7.721 10.148 10.148 103.10 90.00 90.00
Element x y z (fractional)
Ba1 0.697 0.213 0.787
Ba2 0.164 0.048 0.952
Ba3 0.692 0.639 0.685
Ba4 0.197 0.787 0.213
Ba5 0.664 0.952 0.048
Ba6 0.681 0.888 0.417
Ba7 0.681 0.583 0.112
Ba8 0.181 0.112 0.583
Ba9 0.181 0.417 0.888
Ba10 0.192 0.361 0.315
Ba11 0.692 0.315 0.361
Ba12 0.192 0.685 0.639
Pd1 0.414 0.394 0.606
Pd2 0.914 0.606 0.394
Pd3 0.969 0.717 0.922
Pd4 0.469 0.283 0.078
Pd5 0.469 0.922 0.717
Pd6 0.969 0.078 0.283
N1 0.525 0.807 0.193
N2 0.025 0.193 0.807

formation energy without anion corrections = -0.40 eV per atom
symmetry = No. 36
calculated total energy = -3.940 eV per atom

=====

6.
The following is a DFT calculation (PBE-GGA) of Ba12Pd3N5 after structural relaxation.

Lattice parameters (Å, degrees): 15.197 15.197 15.197 109.47 109.47 109.47
Element x y z (fractional)
Pd1 0.625 0.375 0.750
Pd2 0.875 0.750 0.125
Pd3 0.250 0.625 0.875
Pd4 0.125 0.875 0.750
Pd5 0.250 0.125 0.375
Pd6 0.750 0.875 0.625
Pd7 0.750 0.375 0.125
Pd8 0.625 0.250 0.375
Pd9 0.125 0.250 0.875
Pd10 0.875 0.125 0.250
Pd11 0.375 0.625 0.250
Pd12 0.375 0.750 0.625
Ba1 0.023 0.625 0.702
Ba2 0.798 0.320 0.922
Ba3 0.523 0.320 0.898
Ba4 0.398 0.023 0.320
Ba5 0.977 0.602 0.180
Ba6 0.180 0.102 0.977
Ba7 0.578 0.702 0.680
Ba8 0.375 0.977 0.798
Ba9 0.820 0.922 0.298
Ba10 0.320 0.523 0.398
Ba11 0.898 0.078 0.875
Ba12 0.578 0.875 0.398
Ba13 0.680 0.477 0.602
Ba14 0.602 0.625 0.422
Ba15 0.977 0.375 0.298
Ba16 0.702 0.125 0.023
Ba17 0.298 0.422 0.820
Ba18 0.702 0.578 0.180
Ba19 0.922 0.102 0.625
Ba20 0.298 0.875 0.977
Ba21 0.523 0.202 0.125
Ba22 0.477 0.680 0.102
Ba23 0.102 0.180 0.477
Ba24 0.680 0.202 0.578
Ba25 0.398 0.375 0.578
Ba26 0.898 0.820 0.523
Ba27 0.202 0.680 0.078
Ba28 0.102 0.922 0.125
Ba29 0.023 0.398 0.820
Ba30 0.422 0.298 0.320
Ba31 0.375 0.398 0.078
Ba32 0.875 0.298 0.477
Ba33 0.125 0.422 0.102
Ba34 0.875 0.578 0.898
Ba35 0.820 0.898 0.023
Ba36 0.625 0.602 0.922
Ba37 0.422 0.125 0.602
Ba38 0.078 0.180 0.202
Ba39 0.798 0.477 0.375
Ba40 0.125 0.702 0.523
Ba41 0.320 0.798 0.422
Ba42 0.202 0.523 0.625
Ba43 0.180 0.078 0.702
Ba44 0.078 0.898 0.375
Ba45 0.602 0.977 0.680
Ba46 0.625 0.023 0.202
Ba47 0.477 0.798 0.875
Ba48 0.922 0.820 0.798
N1 0.500 0.000 0.500
N2 0.250 0.375 0.625
N3 0.750 0.125 0.875
N4 0.500 0.500 0.000
N5 0.250 0.875 0.125
N6 0.625 0.875 0.250
N7 0.000 0.500 0.500
N8 0.625 0.750 0.875
N9 0.000 0.000 0.500
N10 0.000 0.500 0.000
N11 0.375 0.250 0.125
N12 0.375 0.125 0.750
N13 0.500 0.500 0.500
N14 0.875 0.625 0.750
N15 0.750 0.625 0.375
N16 0.000 0.000 0.000
N17 0.125 0.750 0.375
N18 0.500 0.000 0.000
N19 0.125 0.375 0.250
N20 0.875 0.250 0.625

formation energy without anion corrections = -0.36 eV per atom
symmetry = No. 230
calculated total energy = -4.376 eV per atom

=====

7.
The following is a DFT calculation (PBE-GGA) of Ba2PdN after structural relaxation.

Lattice parameters (Å, degrees): 7.539 7.539 6.894 56.85 56.85 90.00
Element x y z (fractional)
Ba1 0.189 0.625 0.250
Ba2 0.375 0.439 0.750
Ba3 0.875 0.811 0.750
Ba4 0.561 0.125 0.250
N1 0.250 0.750 0.500
N2 0.500 0.500 0.000
Pd1 0.000 0.000 0.000
Pd2 0.750 0.250 0.500

formation energy without anion corrections = -0.09 eV per atom
symmetry = No. 122
calculated total energy = -4.426 eV per atom

=====

8.
The following is a DFT calculation (PBE-GGA) of Ba2PdN after structural relaxation.

Lattice parameters (Å, degrees): 3.911 3.911 9.296 77.86 77.86 60.00
Element x y z (fractional)
Ba1 0.110 0.110 0.671
Ba2 0.890 0.890 0.329
N1 0.500 0.500 0.500
Pd1 0.000 0.000 0.000

formation energy without anion corrections = -0.08 eV per atom
symmetry = No. 166
calculated total energy = -4.425 eV per atom

=====

9.
The following is a DFT calculation (PBE-GGA) of BaPdN2 after structural relaxation.

Lattice parameters (Å, degrees): 5.402 5.402 6.401 65.04 65.04 90.00
Element x y z (fractional)
Ba1 0.750 0.250 0.500
Ba2 0.000 0.000 0.000
Pd1 0.500 0.500 0.000
Pd2 0.250 0.750 0.500
N1 0.516 0.125 0.250
N2 0.875 0.766 0.750
N3 0.375 0.484 0.750
N4 0.234 0.625 0.250

formation energy without anion corrections = 0.44 eV per atom
symmetry = No. 122
calculated total energy = -5.505 eV per atom

=====

10.
The following is a DFT calculation (PBE-GGA) of BaPdN2 after structural relaxation.

Lattice parameters (Å, degrees): 7.019 4.679 8.195 73.42 79.12 48.56
Element x y z (fractional)
N1 0.249 0.860 0.035
N2 0.751 0.140 0.965
N3 0.251 0.105 0.035
N4 0.749 0.895 0.965
Pd1 0.500 0.000 0.500
Pd2 0.000 0.500 0.500
Ba1 0.250 0.637 0.727
Ba2 0.750 0.363 0.273

formation energy without anion corrections = -0.16 eV per atom
symmetry = No. 15
calculated total energy = -6.100 eV per atom

=====

11.
The following is a DFT calculation (PBE-GGA) of Ba6PdN2 after structural relaxation.

Lattice parameters (Å, degrees): 4.833 8.099 10.483 101.12 90.00 107.36
Element x y z (fractional)
Ba1 0.821 0.641 0.103
Ba2 0.365 0.730 0.394
Ba3 0.889 0.777 0.758
Ba4 0.179 0.359 0.897
Ba5 0.635 0.270 0.606
Ba6 0.111 0.223 0.242
N1 0.746 0.492 0.841
N2 0.254 0.508 0.159
Pd1 0.000 0.000 0.500

formation energy without anion corrections = -0.32 eV per atom
symmetry = No. 12
calculated total energy = -4.024 eV per atom

=====

12.
The following is a DFT calculation (PBE-GGA) of BaPdN2 after structural relaxation.

Lattice parameters (Å, degrees): 6.239 6.239 6.239 42.37 42.37 42.37
Element x y z (fractional)
Pd1 0.000 0.000 0.000
Ba1 0.500 0.500 0.500
N1 0.106 0.106 0.106
N2 0.894 0.894 0.894

formation energy without anion corrections = 0.54 eV per atom
symmetry = No. 166
calculated total energy = -5.404 eV per atom

=====

13.
The following is a DFT calculation (PBE-GGA) of BaPd2N4 after structural relaxation.

Lattice parameters (Å, degrees): 6.706 7.094 7.097 41.15 44.99 44.96
Element x y z (fractional)
N1 0.614 0.723 0.961
N2 0.386 0.277 0.039
N3 0.614 0.960 0.724
N4 0.386 0.040 0.276
Ba1 0.000 0.000 0.000
Pd1 0.582 0.366 0.366
Pd2 0.418 0.634 0.634

formation energy without anion corrections = -0.01 eV per atom
symmetry = No. 12
calculated total energy = -6.528 eV per atom

=====

14.
The following is a DFT calculation (PBE-GGA) of Ba3PdN after structural relaxation.

Lattice parameters (Å, degrees): 7.391 7.396 8.423 90.01 64.01 60.01
Element x y z (fractional)
N1 0.386 0.262 0.731
N2 0.041 0.934 0.748
Ba1 0.947 0.665 0.964
Ba2 0.871 0.899 0.515
Ba3 0.238 0.140 0.515
Ba4 0.188 0.057 0.964
Ba5 0.555 0.298 0.964
Ba6 0.479 0.532 0.515
Pd1 0.001 0.455 0.308
Pd2 0.425 0.742 0.171

formation energy without anion corrections = -0.35 eV per atom
symmetry = No. 148
calculated total energy = -4.210 eV per atom

=====

15.
The following is a DFT calculation (PBE-GGA) of BaPdN2 after structural relaxation.

Lattice parameters (Å, degrees): 6.879 6.879 6.879 29.20 29.20 29.20
Element x y z (fractional)
Pd1 0.500 0.500 0.500
N1 0.126 0.126 0.126
N2 0.874 0.874 0.874
Ba1 0.000 0.000 0.000

formation energy without anion corrections = 0.98 eV per atom
symmetry = No. 166
calculated total energy = -4.964 eV per atom

=====

16.
The following is a DFT calculation (PBE-GGA) of Ba3PdN after structural relaxation.

Lattice parameters (Å, degrees): 5.519 5.519 5.519 90.00 90.00 90.00
Element x y z (fractional)
Ba1 0.500 0.000 0.000
Ba2 0.000 0.500 0.000
Ba3 0.000 0.000 0.500
Pd1 0.500 0.500 0.500
N1 0.000 0.000 0.000

formation energy without anion corrections = -0.28 eV per atom
symmetry = No. 221
calculated total energy = -4.135 eV per atom

=====

17.
The following is a DFT calculation (PBE-GGA) of Ba2PdPtN after structural relaxation.

Lattice parameters (Å, degrees): 5.802 5.802 3.830 90.00 90.00 90.00
Element x y z (fractional)
Pd1 0.500 0.500 0.500
Ba1 0.500 0.000 0.000
Ba2 0.000 0.500 0.000
Pt1 0.000 0.000 0.500
N1 0.000 0.000 0.000

formation energy without anion corrections = -0.54 eV per atom
symmetry = No. 123
calculated total energy = -5.224 eV per atom

=====

18.
The following is a DFT calculation (PBE-GGA) of Ba2PdPtN after structural relaxation.

Lattice parameters (Å, degrees): 5.692 5.692 3.910 90.00 90.00 90.00
Element x y z (fractional)
Ba1 0.000 0.500 0.000
Ba2 0.500 0.000 0.000
Pd1 0.000 0.000 0.500
N1 0.000 0.000 0.000
Pt1 0.500 0.500 0.500

formation energy without anion corrections = -0.47 eV per atom
symmetry = No. 123
calculated total energy = -5.155 eV per atom

=====

19.
The following is a DFT calculation (PBE-GGA) of Ba2PdRuN after structural relaxation.

Lattice parameters (Å, degrees): 5.802 5.802 3.790 90.00 90.00 90.00
Element x y z (fractional)
Ba1 0.000 0.500 0.000
Ba2 0.500 0.000 0.000
Pd1 0.500 0.500 0.500
Ru1 0.000 0.000 0.500
N1 0.000 0.000 0.000

formation energy without anion corrections = -0.31 eV per atom
symmetry = No. 123
calculated total energy = -5.634 eV per atom

=====

20.
The following is a DFT calculation (PBE-GGA) of BaPdS2N after structural relaxation.

Lattice parameters (Å, degrees): 5.784 5.784 4.615 90.00 90.00 90.00
Element x y z (fractional)
Pd1 0.500 0.500 0.500
N1 0.000 0.000 0.500
Ba1 0.000 0.000 0.000
S1 0.500 0.000 0.000
S2 0.000 0.500 0.000

formation energy without anion corrections = 1.51 eV per atom
symmetry = No. 123
calculated total energy = -3.227 eV per atom

=====

21.
The following is a DFT calculation (PBE-GGA) of BaPdS2N after structural relaxation.

Lattice parameters (Å, degrees): 5.136 5.136 3.881 90.00 90.00 90.00
Element x y z (fractional)
Pd1 0.000 0.000 0.000
S1 0.000 0.500 0.000
S2 0.500 0.000 0.000
N1 0.000 0.000 0.500
Ba1 0.500 0.500 0.500

formation energy without anion corrections = -0.22 eV per atom
symmetry = No. 123
calculated total energy = -4.962 eV per atom

=====

22.
The following is a DFT calculation (PBE-GGA) of BaSbPd2N after structural relaxation.

Lattice parameters (Å, degrees): 4.658 4.745 4.658 90.00 90.00 90.00
Element x y z (fractional)
Pd1 0.500 0.000 0.000
Pd2 0.000 0.000 0.500
Ba1 0.500 0.500 0.500
Sb1 0.000 0.500 0.000
N1 0.000 0.000 0.000

formation energy without anion corrections = 0.19 eV per atom
symmetry = No. 123
calculated total energy = -4.764 eV per atom